Entry from Alexandria: an optimized crystal structure of Pu2Th2Tl3 (PBE).

Formation energy from the elements, eV/atom: -0.01
Final energy, eV/atom: -7.242
Fermi-level density of states, states/eV/f.u.: 15.08
Mass density, g/cm³: 13.26
Magnetization, Bohr magnetons per cell: 11.95

Unit cell a=11.9787 b=11.9787 c=3.4808 alpha=90.00 beta=90.00 gamma=156.90
Element x y z (fractional)
Pu1 0.2135 0.7865 0.0000
Pu2 0.7865 0.2135 0.0000
Th1 0.0758 0.9242 0.0000
Th2 0.9242 0.0758 0.0000
Tl1 0.3470 0.6530 0.5000
Tl2 0.5000 0.5000 0.5000
Tl3 0.6530 0.3470 0.5000

=====

Entry from Alexandria: an optimized crystal structure of ErNiAs2 (PBE).

Formation energy from the elements, eV/atom: -0.12
Final energy, eV/atom: -5.028
Fermi-level density of states, states/eV/f.u.: 1.98
Mass density, g/cm³: 6.77
Magnetization, Bohr magnetons per cell: 0.00

Unit cell a=8.0025 b=8.0025 c=8.0025 alpha=26.84 beta=26.84 gamma=26.84
Element x y z (fractional)
Er1 0.0000 0.0000 0.0000
Ni1 0.5000 0.5000 0.5000
As1 0.1226 0.1226 0.1226
As2 0.8774 0.8774 0.8774

=====

Entry from Alexandria: an optimized crystal structure of Sm2Ho4ThSc (PBE).

Formation energy from the elements, eV/atom: 0.14
Final energy, eV/atom: -5.049
Fermi-level density of states, states/eV/f.u.: 15.85
Mass density, g/cm³: 8.24
Magnetization, Bohr magnetons per cell: 0.00

Unit cell a=5.8324 b=5.8324 c=7.3302 alpha=90.00 beta=90.00 gamma=90.00
Element x y z (fractional)
Sm1 0.0000 0.0000 0.0000
Sm2 0.5000 0.5000 0.0000
Ho1 0.0000 0.5000 0.2572
Ho2 0.0000 0.5000 0.7428
Ho3 0.5000 0.0000 0.2572
Ho4 0.5000 0.0000 0.7428
Th1 0.0000 0.0000 0.5000
Sc1 0.5000 0.5000 0.5000

=====

Entry from Alexandria: an optimized crystal structure of In3PtN (PBE).

Final energy, eV/atom: -3.812
Fermi-level density of states, states/eV/f.u.: 2.62
Uncorrected formation energy, kcal/mol of atoms: 16.2
Excess energy over the best structure of this formula in the dataset, meV per atom: 284
Mass density, g/cm³: 6.69
Magnetization, Bohr magnetons per cell: 1.99

Unit cell a=5.1599 b=5.1599 c=5.1599 alpha=90.00 beta=90.00 gamma=90.00
Element x y z (fractional)
In1 0.0000 0.0000 0.5000
In2 0.0000 0.5000 0.0000
In3 0.5000 0.0000 0.0000
Pt1 0.0000 0.0000 0.0000
N1 0.5000 0.5000 0.5000